#a
## MgOsPt (PBE)

Data for MgOsPt after structural relaxation.

Cell: 2.758 2.758 12.246 Å, 90.00 90.00 90.00°
Space group I4mm (No. 107)
Unique sites:
Mg (0.000, 0.000, 0.000) [2 per cell]
Os (0.000, 0.000, 0.673) [2 per cell]
Pt (0.000, 0.000, 0.329) [2 per cell]

#b
## MgOsPt (PBE)

Data for MgOsPt after structural relaxation.

Cell: 2.719 4.070 8.358 Å, 90.00 90.00 90.00°
Space group Imm2 (No. 44)
Unique sites:
Mg (0.000, 0.000, 0.000) [2 per cell]
Os (0.000, 0.000, 0.667) [2 per cell]
Pt (0.000, 0.000, 0.334) [2 per cell]

In terms of stability, #a leads; the second structure lies 169 meV per atom higher.

#a
## MgOsPt (PBE)

Data for MgOsPt after structural relaxation.

Cell: 2.7981 2.7981 6.8072 Å, 90.00 90.00 120.00°
Space group P3m1 (No. 156)
Unique sites:
Mg (0.0000, 0.0000, 0.0000) [1 per cell]
Os (0.6667, 0.3333, 0.3378) [1 per cell]
Pt (0.3333, 0.6667, 0.6701) [1 per cell]

#b
## MgOsPt (PBE)

Data for MgOsPt after structural relaxation.

Cell: 6.035 6.035 6.035 Å, 90.00 90.00 90.00°
Space group F-43m (No. 216)
Unique sites:
Mg (0.000, 0.000, 0.000) [4 per cell]
Os (0.000, 0.000, 0.500) [4 per cell]
Pt (0.250, 0.250, 0.750) [4 per cell]

In terms of stability, #a leads; the second structure lies 373 meV per atom higher.

#a
## RbMgOs3 (PBE)

Data for RbMgOs3 after structural relaxation.

Cell: 4.782 4.782 4.782 Å, 90.00 90.00 90.00°
Space group Pm-3m (No. 221)
Unique sites:
Rb (0.000, 0.000, 0.000) [1 per cell]
Mg (0.500, 0.500, 0.500) [1 per cell]
Os (0.000, 0.500, 0.500) [3 per cell]

#b
## RbMgOs3 (PBE)

Data for RbMgOs3 after structural relaxation.

Cell: 4.781 4.781 4.781 Å, 90.00 90.00 90.00°
Space group Pm-3m (No. 221)
Unique sites:
Rb (0.000, 0.000, 0.000) [1 per cell]
Mg (0.500, 0.500, 0.500) [1 per cell]
Os (0.000, 0.000, 0.500) [3 per cell]

In terms of stability, #a leads; the second structure lies 1079 meV per atom higher.

#a
## Mg2ReOs (PBE)

Data for Mg2ReOs after structural relaxation.

Cell: 3.085 4.637 9.217 Å, 90.00 90.00 90.00°
Space group Imm2 (No. 44)
Unique sites:
Mg (0.000, 0.000, 0.000) [2 per cell]
Mg (0.000, 0.500, 0.221) [2 per cell]
Re (0.000, 0.500, 0.759) [2 per cell]
Os (0.000, 0.000, 0.470) [2 per cell]

#b
## Mg2ReOs (PBE)

Data for Mg2ReOs after structural relaxation.

Cell: 4.427 4.427 6.278 Å, 90.00 90.00 90.00°
Space group I-4m2 (No. 119)
Unique sites:
Mg (0.000, 0.000, 0.000) [2 per cell]
Mg (0.000, 0.500, 0.250) [2 per cell]
Re (0.000, 0.000, 0.500) [2 per cell]
Os (0.000, 0.500, 0.750) [2 per cell]

In terms of stability, #b leads; the second structure lies 175 meV per atom higher.

#a
## Mg2ReOs (PBE)

Data for Mg2ReOs after structural relaxation.

Cell: 5.242 8.852 2.747 Å, 90.00 90.00 90.00°
Space group Cmmm (No. 65)
Unique sites:
Mg (0.250, 0.250, 0.000) [4 per cell]
Re (0.000, 0.000, 0.500) [2 per cell]
Os (0.000, 0.500, 0.500) [2 per cell]

#b
## Mg2ReOs (PBE)

Data for Mg2ReOs after structural relaxation.

Cell: 5.389 9.104 2.708 Å, 90.00 109.17 90.00°
Space group C2/m (No. 12)
Unique sites:
Mg (0.250, 0.250, 0.000) [4 per cell]
Re (0.000, 0.000, 0.500) [2 per cell]
Os (0.000, 0.500, 0.500) [2 per cell]

#c
## Mg2ReOs (PBE)

Data for Mg2ReOs after structural relaxation.

Cell: 2.8098 2.8098 27.6460 Å, 90.00 90.00 120.00°
Space group R-3m (No. 166, hexagonal axes)
Unique sites:
Mg (0.0000, 0.0000, 0.2482) [6 per cell]
Re (0.0000, 0.0000, 0.0000) [3 per cell]
Os (0.0000, 0.0000, 0.5000) [3 per cell]

#d
## Mg2ReOs (PBE)

Data for Mg2ReOs after structural relaxation.

Cell: 2.999 2.999 7.402 Å, 90.00 90.00 90.00°
Space group P4mm (No. 99)
Unique sites:
Mg (0.000, 0.000, 0.000) [1 per cell]
Mg (0.500, 0.500, 0.304) [1 per cell]
Re (0.500, 0.500, 0.750) [1 per cell]
Os (0.000, 0.000, 0.543) [1 per cell]

In terms of stability, #d leads; the second structure lies 229 meV per atom higher.

#a
## Mg2ReOs (PBE)

Data for Mg2ReOs after structural relaxation.

Cell: 3.789 3.789 8.848 Å, 90.00 90.00 90.00°
Space group I4/mmm (No. 139)
Unique sites:
Mg (0.000, 0.500, 0.250) [4 per cell]
Re (0.000, 0.000, 0.000) [2 per cell]
Os (0.000, 0.000, 0.500) [2 per cell]

#b
## Mg2ReOs (PBE)

Data for Mg2ReOs after structural relaxation.

Cell: 7.252 7.252 5.217 Å, 90.00 90.00 90.00°
Space group I-42d (No. 122)
Unique sites:
Mg (0.241, 0.250, 0.125) [8 per cell]
Re (0.000, 0.000, 0.500) [4 per cell]
Os (0.000, 0.000, 0.000) [4 per cell]

#c
## Mg2ReOs (PBE)

Data for Mg2ReOs after structural relaxation.

Cell: 3.115 4.407 4.570 Å, 90.00 90.00 90.00°
Space group Pmmm (No. 47)
Unique sites:
Mg (0.000, 0.000, 0.000) [1 per cell]
Mg (0.500, 0.500, 0.000) [1 per cell]
Re (0.000, 0.500, 0.500) [1 per cell]
Os (0.500, 0.000, 0.500) [1 per cell]

#d
## Mg2ReOs (PBE)

Data for Mg2ReOs after structural relaxation.

Cell: 3.018 4.676 9.446 Å, 90.00 90.00 90.00°
Space group Cmm2 (No. 35)
Unique sites:
Mg (0.000, 0.000, 0.000) [2 per cell]
Mg (0.000, 0.500, 0.284) [2 per cell]
Re (0.000, 0.000, 0.534) [2 per cell]
Os (0.000, 0.500, 0.757) [2 per cell]

In terms of stability, #c leads; the second structure lies 38 meV per atom higher.